[1]
VASP calculation (GGA-PBE) on a relaxed structure of Eu3Hg.

a = 5.715 Å, b = 5.715 Å, c = 5.715 Å
α = 60.00°, β = 60.00°, γ = 60.00°
Fractional coordinates of all 4 atoms:
Eu: 0.000 0.000 0.000
Eu: 0.250 0.250 0.250
Eu: 0.750 0.750 0.750
Hg: 0.500 0.500 0.500

Values from the calculation:
Symmetry: No. 225
Offset from the most stable computed form (eV per atom): 0.122
Formation energy (meV/atom): -136

---

[2]
VASP calculation (GGA-PBE) on a relaxed structure of CdSbRh2.

a = 4.326 Å, b = 4.326 Å, c = 5.782 Å
α = 101.52°, β = 101.52°, γ = 44.11°
Fractional coordinates of all 4 atoms:
Cd: 0.000 0.000 0.000
Sb: 0.500 0.500 0.500
Rh: 0.244 0.244 0.722
Rh: 0.756 0.756 0.278

Values from the calculation:
Symmetry: No. 12
Uncorrected formation energy (eV/atom): -0.1440

---

[3]
VASP calculation (GGA-PBE) on a relaxed structure of VCd2IrC.

a = 5.156 Å, b = 5.156 Å, c = 3.615 Å
α = 90.00°, β = 90.00°, γ = 90.00°
Fractional coordinates of all 5 atoms:
V: 0.000 0.000 0.000
Cd: 0.000 0.500 0.000
Cd: 0.500 0.000 0.000
Ir: 0.500 0.500 0.500
C: 0.000 0.000 0.500

Values from the calculation:
Symmetry: No. 123
Formation energy (meV/atom): 1517

---

[4]
VASP calculation (GGA-PBE) on a relaxed structure of SrTmCd2.

a = 3.856 Å, b = 3.856 Å, c = 7.776 Å
α = 90.00°, β = 90.00°, γ = 90.00°
Fractional coordinates of all 4 atoms:
Sr: 0.000 0.000 0.000
Tm: 0.000 0.000 0.500
Cd: 0.500 0.500 0.285
Cd: 0.500 0.500 0.715

Values from the calculation:
Symmetry: No. 123
Formation energy (meV/atom): -308

---

[5]
VASP calculation (GGA-PBE) on a relaxed structure of CeNdGaHg.

a = 5.332 Å, b = 5.332 Å, c = 5.332 Å
α = 60.00°, β = 60.00°, γ = 60.00°
Fractional coordinates of all 4 atoms:
Ce: 0.000 0.000 0.000
Nd: 0.500 0.500 0.500
Ga: 0.250 0.250 0.250
Hg: 0.750 0.750 0.750

Values from the calculation:
Symmetry: No. 216
Offset from the most stable computed form (eV per atom): 0.036
Formation energy (meV/atom): -409

---

[6]
VASP calculation (GGA-PBE) on a relaxed structure of ZrMnPt2.

a = 3.542 Å, b = 3.542 Å, c = 5.577 Å
α = 90.00°, β = 90.00°, γ = 90.00°
Fractional coordinates of all 4 atoms:
Zr: 0.000 0.000 0.000
Mn: 0.500 0.500 0.315
Pt: 0.000 0.000 0.484
Pt: 0.500 0.500 0.791

Values from the calculation:
Symmetry: No. 99
Formation energy (meV/atom): -574